Record 1
5
Lattice="5.756 0.000 0.000 0.000 5.756 0.000 0.000 0.000 5.756" Properties=species:S:1:pos:R:3 comment="Nd4Ag | the Alexandria database | PBE | relaxed" n_ef_per_ev_atom=1.499 e_above_lowest_polymorph_ev_per_atom=0.266 m_tot_mub_per_atom=0.00 ef_ev_per_fu=1.28 pbc="T T T"
Nd 0.000 2.878 2.878
Nd 0.000 0.000 0.000
Nd 2.878 2.878 0.000
Nd 2.878 0.000 2.878
Ag 2.878 2.878 2.878


Record 2
7
Lattice="4.971 0.000 1.482 2.265 4.425 1.482 -0.008 -0.005 9.106" Properties=species:S:1:pos:R:3 comment="Nd3Ag4 | the Alexandria database | PBE | relaxed" n_ef_per_ev_atom=0.817 m_tot_mub_per_atom=0.00 ef_ev_per_fu=-0.37 pbc="T T T"
Ag 0.869 0.531 6.165
Ag 4.572 2.796 2.819
Nd 1.745 1.067 3.224
Ag 6.359 3.889 5.904
Ag 2.655 1.624 9.250
Nd 0.000 0.000 0.000
Nd 5.482 3.353 8.845


Record 3
8
Lattice="4.891 0.000 0.000 0.000 6.514 0.000 0.000 -3.257 5.663" Properties=species:S:1:pos:R:3 comment="NdAg3 | the Alexandria database | PBE | relaxed" n_ef_per_ev_atom=0.690 m_tot_mub_per_atom=0.00 ef_ev_per_fu=-0.72 pbc="T T T"
Ag 1.223 1.778 4.810
Ag 3.668 1.479 0.852
Ag 1.223 -1.779 4.811
Ag 3.668 3.257 3.959
Ag 3.668 5.036 0.852
Nd 1.223 3.257 1.895
Nd 3.668 0.000 3.768
Ag 1.223 0.000 1.704


Record 4
4
Lattice="3.252 0.000 0.000 0.000 5.004 0.000 0.000 0.000 5.434" Properties=species:S:1:pos:R:3 comment="NdAg3 | the Alexandria database | PBE | relaxed" n_ef_per_ev_atom=0.500 m_tot_mub_per_atom=0.00 ef_ev_per_fu=-0.15 pbc="T T T"
Ag 1.626 0.000 2.880
Nd 0.000 2.502 1.804
Ag 1.626 2.502 4.530
Ag 0.000 0.000 5.276


Record 5
10
Lattice="7.041 -0.730 0.000 -3.387 6.216 0.000 -1.827 -2.743 7.705" Properties=species:S:1:pos:R:3 comment="Nd4Ag | the Alexandria database | PBE | relaxed" n_ef_per_ev_atom=1.071 e_above_lowest_polymorph_ev_per_atom=0.000 m_tot_mub_per_atom=0.00 ef_ev_per_fu=-0.05 pbc="T T T"
Nd 1.854 4.330 1.651
Nd -3.667 4.245 4.697
Nd 3.241 -2.336 6.860
Nd -1.577 4.834 0.845
Nd -2.067 1.002 5.504
Nd 0.116 1.726 3.008
Nd 1.454 0.637 6.054
Ag 1.064 1.598 0.000
Nd 3.548 1.222 2.201
Ag 2.758 -1.510 3.853


Record 6
15
Lattice="-2.546 5.908 1.225 -4.226 -1.655 -7.384 -5.467 -1.840 7.630" Properties=species:S:1:pos:R:3 comment="Nd13Ag2 | the Alexandria database | PBE | relaxed" n_ef_per_ev_atom=1.318 m_tot_mub_per_atom=0.00 ef_ev_per_fu=-0.47 pbc="T T T"
Nd -7.946 1.943 -3.725
Nd -2.937 2.178 0.275
Nd -6.143 1.470 2.387
Ag -8.542 2.850 -0.580
Nd -5.284 -0.557 -4.036
Nd -9.303 0.235 1.196
Nd -4.711 3.351 -3.094
Nd -6.408 -1.955 1.126
Ag -3.697 -0.436 2.052
Nd -6.955 2.970 5.507
Nd -7.528 -0.937 4.566
Nd 0.000 0.000 0.000
Nd -6.096 0.943 -0.916
Nd -4.294 0.470 5.197
Nd -5.831 4.369 0.345


Record 7
3
Lattice="4.816 0.000 0.000 -2.408 4.171 0.000 0.000 0.000 3.589" Properties=species:S:1:pos:R:3 comment="NdAg2 | the Alexandria database | PBE | relaxed" n_ef_per_ev_atom=0.803 m_tot_mub_per_atom=0.00 ef_ev_per_fu=-0.77 pbc="T T T"
Nd 0.000 0.000 0.000
Ag 0.000 2.781 1.794
Ag 2.408 1.390 1.794


Record 8
6
Lattice="-0.312 -4.250 -3.927 4.069 -4.124 -0.136 -1.288 -5.398 1.668" Properties=species:S:1:pos:R:3 comment="NdAg2 | the Alexandria database | PBE | relaxed" n_ef_per_ev_atom=0.818 m_tot_mub_per_atom=0.00 ef_ev_per_fu=-0.46 pbc="T T T"
Ag 1.543 -8.608 -1.497
Nd 0.617 -3.443 -0.599
Ag -0.492 -6.546 -1.429
Ag 2.187 -5.909 -2.331
Ag 1.699 -6.483 0.467
Nd 0.000 0.000 0.000


Record 9
8
Lattice="-1.667 0.757 -5.026 0.177 -5.023 -0.816 -6.153 -0.535 1.960" Properties=species:S:1:pos:R:3 comment="NdAg3 | the Alexandria database | PBE | relaxed" n_ef_per_ev_atom=0.505 m_tot_mub_per_atom=0.00 ef_ev_per_fu=-0.86 pbc="T T T"
Ag -3.321 -1.403 -0.028
Ag -4.322 -3.397 -3.853
Ag -1.285 -3.133 -4.820
Ag -1.906 -3.673 -1.631
Ag -5.737 -1.127 -2.250
Ag -6.358 -1.666 0.940
Nd -2.590 -0.891 -3.018
Nd -5.053 -3.908 -0.863


Record 10
4
Lattice="-4.397 0.905 0.444 -0.771 -1.740 -4.090 -0.649 -4.063 1.851" Properties=species:S:1:pos:R:3 comment="NdAg3 | the Alexandria database | PBE | relaxed" n_ef_per_ev_atom=1.076 m_tot_mub_per_atom=0.00 ef_ev_per_fu=-0.06 pbc="T T T"
Ag -2.523 -1.579 1.148
Ag -2.584 -0.417 -1.823
Ag -0.710 -2.901 -1.120
Nd 0.000 0.000 0.000


Record 11
10
Lattice="3.580 0.000 -0.589 0.000 4.845 0.000 0.538 0.000 14.437" Properties=species:S:1:pos:R:3 comment="Nd2Ag3 | the Alexandria database | PBE | relaxed" n_ef_per_ev_atom=0.863 e_above_lowest_polymorph_ev_per_atom=0.000 m_tot_mub_per_atom=0.00 ef_ev_per_fu=-1.22 pbc="T T T"
Nd 1.357 3.634 8.242
Ag 0.806 3.634 4.895
Nd 2.130 3.634 1.772
Ag 3.564 3.634 10.484
Nd 2.762 1.211 5.606
Nd 1.988 1.211 12.076
Ag 4.011 3.634 13.199
Ag 3.312 1.211 8.953
Ag 0.107 1.211 0.649
Ag 0.554 1.211 3.364


Record 12
20
Lattice="8.982 0.000 0.000 -2.994 8.469 0.000 -2.994 -4.234 7.334" Properties=species:S:1:pos:R:3 comment="Nd2Ag3 | the Alexandria database | PBE | relaxed" n_ef_per_ev_atom=1.026 e_above_lowest_polymorph_ev_per_atom=0.227 m_tot_mub_per_atom=0.00 ef_ev_per_fu=-0.08 pbc="T T T"
Ag -4.442 3.245 5.501
Ag -1.546 1.093 5.561
Nd 1.265 2.773 3.667
Nd -0.232 -0.328 0.568
Ag 6.037 -0.989 1.834
Ag 2.945 0.989 5.501
Ag 5.939 5.328 1.773
Nd -0.802 4.234 0.000
Ag 3.043 1.024 1.894
Ag 0.049 -0.035 3.607
Ag -1.546 -2.083 7.274
Nd -1.729 3.907 6.766
Ag -1.448 4.200 3.727
Ag 5.939 2.152 0.060
Nd 2.762 -1.461 3.667
Nd -1.729 -2.445 4.235
Nd 5.757 1.789 3.099
Ag 1.448 5.224 1.834
Nd 3.690 4.234 0.000
Ag 1.546 5.258 5.441